Record 1
Below is a relaxed structure of KTcSe2, with properties calculated at the GGA-PBE level.

raw formation energy	-0.43	eV per atom
offset from the most stable computed form	0.25	eV/f.u.
calculated total energy	-0.3702	Ry per atom

Lattice parameters (Å, degrees): 7.4075 7.4075 6.7369 56.65 56.65 90.00
Atoms (fractional coordinates):
K: 0.5000 0.5000 0.0000
Tc: 0.7500 0.2500 0.5000
Se: 0.0214 0.6250 0.2500
Se: 0.3750 0.2714 0.7500
Se: 0.7286 0.1250 0.2500
Tc: 0.0000 0.0000 0.0000
K: 0.2500 0.7500 0.5000
Se: 0.8750 0.9786 0.7500


Record 2
Below is a relaxed structure of TeMoIN2, with properties calculated at the GGA-PBE level.

raw formation energy	2.11	eV per atom
offset from the most stable computed form	6.95	eV/f.u.
calculated total energy	-0.3178	Ry per atom

Lattice parameters (Å, degrees): 4.0027 4.0027 7.4403 90.00 90.00 90.00
Atoms (fractional coordinates):
I: 0.0000 0.0000 0.0000
Mo: 0.5000 0.5000 0.5000
N: 0.5000 0.0000 0.0000
N: 0.0000 0.5000 0.0000
Te: 0.0000 0.0000 0.5000


Record 3
Below is a relaxed structure of Li7Mg2Ga2, with properties calculated at the GGA-PBE level.

energy of formation from the pure elements	-0.12	eV per atom
calculated total energy	-0.1602	Ry per atom

Lattice parameters (Å, degrees): 4.8662 6.6662 6.6662 92.19 104.64 104.64
Atoms (fractional coordinates):
Ga: 0.5000 0.2380 0.7620
Li: 0.1657 0.4059 0.9333
Mg: 0.6092 0.1923 0.1923
Li: 0.8343 0.0667 0.5941
Li: 0.0000 0.0000 0.0000
Mg: 0.3908 0.8077 0.8077
Li: 0.7791 0.5808 0.5808
Li: 0.8343 0.5941 0.0667
Li: 0.2209 0.4192 0.4192
Li: 0.1657 0.9333 0.4059
Ga: 0.5000 0.7620 0.2380


Record 4
Below is a relaxed structure of Ag3BiS, with properties calculated at the GGA-PBE level.

raw formation energy	0.86	eV per atom
offset from the most stable computed form	2.75	eV/f.u.
calculated total energy	-0.1804	Ry per atom

Lattice parameters (Å, degrees): 5.4010 5.4010 5.4010 90.00 90.00 90.00
Atoms (fractional coordinates):
Ag: 0.5000 0.0000 0.0000
S: 0.5000 0.5000 0.5000
Ag: 0.0000 0.5000 0.0000
Bi: 0.0000 0.0000 0.0000
Ag: 0.0000 0.0000 0.5000


So what do the calculations give for magnetization? Going down the list: 0.00; 3.79; 0.00; 2.00 μB/f.u..